(1)
{
  "formula": "BeAgAu2",
  "functional": "PBE",
  "state": "relaxed",
  "lattice_angstrom": [[5.389, 0.063, 0.006], [2.652, 4.691, -0.006], [-3.523, -3.219, 2.504]],
  "species": ["Be", "Au", "Au", "Ag"],
  "fractional_positions": [[0.508, 0.508, 0.000], [0.700, 0.200, 0.500], [0.995, 0.995, 0.000], [0.296, 0.796, 0.500]],
  "e_form_mev_per_atom": -30
}

---

(2)
{
  "formula": "Sr2AgPbO4",
  "functional": "PBE",
  "state": "relaxed",
  "lattice_angstrom": [[-2.299, -1.877, -2.257], [4.762, -1.109, -3.928], [-0.198, -4.486, 3.931]],
  "species": ["O", "O", "O", "O", "Sr", "Sr", "Ag", "Pb"],
  "fractional_positions": [[0.000, 0.255, 0.757], [0.500, 0.277, 0.257], [0.500, 0.723, 0.743], [0.000, 0.745, 0.243], [0.000, 0.500, 0.500], [0.500, 0.000, 0.500], [0.000, 0.000, 0.000], [0.500, 0.500, 0.000]],
  "formation_energy_uncorrected_ev_per_atom": -1.59
}

---

(3)
{
  "formula": "Na3Dy2GeO6",
  "functional": "PBE",
  "state": "relaxed",
  "lattice_angstrom": [[-4.008, 0.326, 4.173], [3.134, -4.832, -0.641], [4.113, 3.488, 2.365]],
  "species": ["O", "O", "O", "O", "O", "O", "Dy", "Dy", "Na", "Na", "Na", "Ge"],
  "fractional_positions": [[0.612, 0.931, 0.789], [0.252, 0.252, 0.791], [0.748, 0.748, 0.209], [0.069, 0.388, 0.211], [0.931, 0.612, 0.789], [0.388, 0.069, 0.211], [0.333, 0.667, 0.000], [0.667, 0.333, 0.000], [0.156, 0.844, 0.500], [0.500, 0.500, 0.500], [0.844, 0.156, 0.500], [0.000, 0.000, 0.000]],
  "formation_energy_uncorrected_ev_per_atom": -2.27
}

---

(4)
{
  "formula": "KAs2HPd",
  "functional": "PBE",
  "state": "relaxed",
  "lattice_angstrom": [[4.689, 0.000, 0.000], [0.000, 6.888, 0.000], [0.000, 0.000, 4.689]],
  "species": ["Pd", "K", "H", "As", "As"],
  "fractional_positions": [[0.000, 0.000, 0.000], [0.000, 0.500, 0.000], [0.500, 0.500, 0.500], [0.500, 0.000, 0.000], [0.000, 0.000, 0.500]],
  "total_energy_ev_per_atom": -3.35
}

---

Number 1: spin magnetization 0.0 Bohr magnetons per cell. Number 2: spin magnetization 0.0 Bohr magnetons per cell. Number 3: spin magnetization 0.1 Bohr magnetons per cell. Number 4: spin magnetization 0.1 Bohr magnetons per cell.